(1)
SmDy2ErSc2 | PBE | relaxed

Structure (CIF):
```
data_SmDy2ErSc2
_space_group_name_H-M_alt 'P 1'
_space_group_IT_number 1
_cell_length_a 6.2872
_cell_length_b 17.3408
_cell_length_c 3.3332
_cell_angle_alpha 90.00
_cell_angle_beta 90.00
_cell_angle_gamma 90.00
loop_
_space_group_symop_operation_xyz
'x,y,z'
loop_
_atom_site_label
_atom_site_fract_x
_atom_site_fract_y
_atom_site_fract_z
_atom_site_occupancy
Sm1 0.0000 0.0000 0.0000 1
Sm2 0.5000 0.5000 0.5000 1
Dy1 0.2257 0.3096 0.0000 1
Dy2 0.2743 0.8096 0.5000 1
Dy3 0.7257 0.1904 0.5000 1
Dy4 0.7743 0.6904 0.0000 1
Er1 0.0000 0.5000 0.0000 1
Er2 0.5000 0.0000 0.5000 1
Sc1 0.2251 0.1460 0.5000 1
Sc2 0.2749 0.6460 0.0000 1
Sc3 0.7251 0.3540 0.0000 1
Sc4 0.7749 0.8540 0.5000 1
```

Results
**Uncorrected energy**: -4.91 eV/atom
**Formation enthalpy at 0 K**: 0.2815 eV/atom


(2)
SmDyEr5Sc2 | PBE | relaxed

Structure (CIF):
```
data_SmDyEr5Sc2
_space_group_name_H-M_alt 'P 1'
_space_group_IT_number 1
_cell_length_a 10.9823
_cell_length_b 10.9823
_cell_length_c 9.2956
_cell_angle_alpha 90.00
_cell_angle_beta 90.00
_cell_angle_gamma 150.74
loop_
_space_group_symop_operation_xyz
'x,y,z'
loop_
_atom_site_label
_atom_site_fract_x
_atom_site_fract_y
_atom_site_fract_z
_atom_site_occupancy
Sm1 0.0977 0.9023 0.5000 1
Sm2 0.9023 0.0977 0.0000 1
Dy1 0.3121 0.6879 0.8986 1
Dy2 0.6879 0.3121 0.3986 1
Er1 0.0312 0.9688 0.1690 1
Er2 0.1092 0.8908 0.8738 1
Er3 0.1930 0.8070 0.1970 1
Er4 0.2352 0.7648 0.5819 1
Er5 0.4909 0.5091 0.8980 1
Er6 0.5091 0.4909 0.3980 1
Er7 0.7648 0.2352 0.0819 1
Er8 0.8070 0.1930 0.6970 1
Er9 0.8908 0.1092 0.3738 1
Er10 0.9688 0.0312 0.6690 1
Sc1 0.3596 0.6404 0.2212 1
Sc2 0.3868 0.6132 0.5934 1
Sc3 0.6132 0.3868 0.0934 1
Sc4 0.6404 0.3596 0.7212 1
```

Results
**Uncorrected energy**: -4.81 eV/atom
**Formation enthalpy at 0 K**: 0.1707 eV/atom


(3)
Sm2DyEr6Sc | PBE | relaxed

Structure (CIF):
```
data_Sm2DyEr6Sc
_space_group_name_H-M_alt 'P 1'
_space_group_IT_number 1
_cell_length_a 8.6205
_cell_length_b 8.6205
_cell_length_c 9.4899
_cell_angle_alpha 94.45
_cell_angle_beta 94.45
_cell_angle_gamma 117.48
loop_
_space_group_symop_operation_xyz
'x,y,z'
loop_
_atom_site_label
_atom_site_fract_x
_atom_site_fract_y
_atom_site_fract_z
_atom_site_occupancy
Sm1 0.1984 0.3001 0.0458 1
Sm2 0.3001 0.1984 0.5458 1
Sm3 0.6999 0.8016 0.4542 1
Sm4 0.8016 0.6999 0.9542 1
Dy1 0.0188 0.9812 0.2500 1
Dy2 0.9812 0.0188 0.7500 1
Er1 0.0114 0.5702 0.1901 1
Er2 0.1266 0.7462 0.5574 1
Er3 0.2538 0.8734 0.9426 1
Er4 0.2943 0.5046 0.3832 1
Er5 0.4298 0.9886 0.3099 1
Er6 0.4954 0.7057 0.1168 1
Er7 0.5046 0.2943 0.8832 1
Er8 0.5702 0.0114 0.6901 1
Er9 0.7057 0.4954 0.6168 1
Er10 0.7462 0.1266 0.0574 1
Er11 0.8734 0.2538 0.4426 1
Er12 0.9886 0.4298 0.8099 1
Sc1 0.4102 0.5898 0.7500 1
Sc2 0.5898 0.4102 0.2500 1
```

Results
**Uncorrected energy**: -4.65 eV/atom
**Formation enthalpy at 0 K**: 0.1237 eV/atom


(4)
Sm2Dy2ErSc2 | PBE | relaxed

Structure (CIF):
```
data_Sm2Dy2ErSc2
_space_group_name_H-M_alt 'P 1'
_space_group_IT_number 1
_cell_length_a 5.9224
_cell_length_b 5.9224
_cell_length_c 11.5648
_cell_angle_alpha 108.16
_cell_angle_beta 108.16
_cell_angle_gamma 33.61
loop_
_space_group_symop_operation_xyz
'x,y,z'
loop_
_atom_site_label
_atom_site_fract_x
_atom_site_fract_y
_atom_site_fract_z
_atom_site_occupancy
Sm1 0.1710 0.1710 0.0891 1
Sm2 0.8290 0.8290 0.9109 1
Dy1 0.0465 0.0465 0.7665 1
Dy2 0.9535 0.9535 0.2335 1
Er1 0.5000 0.5000 0.5000 1
Sc1 0.2714 0.2714 0.6307 1
Sc2 0.7286 0.7286 0.3693 1
```

Results
**Uncorrected energy**: -5.02 eV/atom
**Formation enthalpy at 0 K**: 0.1085 eV/atom